Pr3Sm3TlHg2 | PBE | optimized geometry

The density comes out at 8.854 Mg/m³. The final energy is -3.7400 eV per atom. The formation energy is -2.19 eV/f.u.

The space group is P-62m (No. 189) and the conventional cell measures 9.0856, 9.0856 and 3.8811 Å, with angles of 90.00, 90.00 and 120.00 degrees. Symmetry generates all atoms from Pr at (0.0000, 0.7122, 0.0000), Sm at (0.0000, 0.3865, 0.5000), Tl at (0.0000, 0.0000, 0.5000) and Hg at (0.3333, 0.6667, 0.0000).


TaTl2As | PBE | optimized geometry

The density comes out at 11.878 Mg/m³. The final energy is -4.3726 eV per atom. The formation energy is 3.74 eV/f.u.

The space group is Fm-3m (No. 225) and the conventional cell measures 7.190, 7.190 and 7.190 Å, with angles of 90.00, 90.00 and 90.00 degrees. Symmetry generates all atoms from Ta at (0.000, 0.000, 0.000), Tl at (0.250, 0.250, 0.250) and As at (0.000, 0.000, 0.500).


Pr3ErIn12 | PBE | optimized geometry

The density comes out at 7.805 Mg/m³. The final energy is -3.6811 eV per atom. The formation energy is -7.13 eV/f.u.

The space group is P4/mmm (No. 123) and the conventional cell measures 4.706, 4.706 and 18.901 Å, with angles of 90.00, 90.00 and 90.00 degrees. Symmetry generates all atoms from Pr at (0.000, 0.000, 0.000), Pr at (0.000, 0.000, 0.254), Er at (0.000, 0.000, 0.500), In at (0.000, 0.500, 0.127), In at (0.000, 0.500, 0.380), In at (0.500, 0.500, 0.000), In at (0.500, 0.500, 0.252) and In at (0.500, 0.500, 0.500).


Ba2AcCl2O2 | PBE | optimized geometry

The density comes out at 5.205 Mg/m³. The formation energy without anion corrections comes out at -2.39 eV per atom. The final energy is -5.4658 eV per atom.

The space group is I4/mmm (No. 139) and the conventional cell measures 4.846, 4.846 and 16.428 Å, with angles of 90.00, 90.00 and 90.00 degrees. Symmetry generates all atoms from Ba at (0.000, 0.000, 0.120), Ac at (0.000, 0.000, 0.500), Cl at (0.000, 0.000, 0.313) and O at (0.000, 0.500, 0.000).


Nd2CoBr | PBE | optimized geometry

The density comes out at 6.568 Mg/m³. The formation energy without anion corrections comes out at -0.72 eV per atom. The final energy is -5.3000 eV per atom.

The space group is R-3m (No. 166, hexagonal axes) and the conventional cell measures 3.9944, 3.9944 and 23.4562 Å, with angles of 90.00, 90.00 and 120.00 degrees. Symmetry generates all atoms from Nd at (0.0000, 0.0000, 0.2308), Co at (0.0000, 0.0000, 0.5000) and Br at (0.0000, 0.0000, 0.0000).


Cs2PuTa3O12 | PBE | optimized geometry

The density comes out at 6.767 Mg/m³. The formation energy without anion corrections comes out at -2.63 eV per atom. The final energy is -8.7985 eV per atom.

The space group is R-3m (No. 166, hexagonal axes) and the conventional cell measures 7.4843, 7.4843 and 18.8871 Å, with angles of 90.00, 90.00 and 120.00 degrees. Symmetry generates all atoms from Cs at (0.0000, 0.0000, 0.1155), Pu at (0.0000, 0.0000, 0.5000), Ta at (0.0000, 0.5000, 0.0000), O at (0.0800, 0.5400, 0.1047) and O at (0.0850, 0.5425, 0.3517).


CuBiP2I | PBE | optimized geometry

The density comes out at 6.359 Mg/m³. The formation energy without anion corrections comes out at 0.65 eV per atom. The final energy is -3.4215 eV per atom.

The space group is P4/mmm (No. 123) and the conventional cell measures 4.529, 4.529 and 5.875 Å, with angles of 90.00, 90.00 and 90.00 degrees. Symmetry generates all atoms from Cu at (0.000, 0.000, 0.000), Bi at (0.000, 0.000, 0.500), P at (0.000, 0.500, 0.000) and I at (0.500, 0.500, 0.500).


TaPSe2 | PBE | optimized geometry

The density comes out at 8.341 Mg/m³. The formation energy without anion corrections comes out at 0.26 eV per atom. The final energy is -5.7999 eV per atom.

The space group is C2/m (No. 12) and the conventional cell measures 5.375, 8.205 and 3.886 Å, with angles of 90.00, 120.78 and 90.00 degrees. Symmetry generates all atoms from Ta at (0.000, 0.000, 0.000), P at (0.000, 0.500, 0.000) and Se at (0.250, 0.250, 0.500).


Ta2PtCl | PBE | optimized geometry

The density comes out at 13.024 Mg/m³. The formation energy without anion corrections comes out at -0.28 eV per atom. The final energy is -8.1742 eV per atom.

The space group is R3m (No. 160, hexagonal axes) and the conventional cell measures 2.9667, 2.9667 and 29.7311 Å, with angles of 90.00, 90.00 and 120.00 degrees. Symmetry generates all atoms from Ta at (0.0000, 0.0000, 0.0000), Ta at (0.0000, 0.0000, 0.2474), Pt at (0.0000, 0.0000, 0.7395) and Cl at (0.0000, 0.0000, 0.5195).


Sc2SiNiGe | PBE | optimized geometry

The density comes out at 4.123 Mg/m³. The formation energy without anion corrections comes out at -0.15 eV per atom. The final energy is -5.8420 eV per atom.

The space group is P4/mmm (No. 123) and the conventional cell measures 4.826, 4.826 and 4.311 Å, with angles of 90.00, 90.00 and 90.00 degrees. Symmetry generates all atoms from Sc at (0.000, 0.500, 0.000), Si at (0.000, 0.000, 0.500), Ni at (0.500, 0.500, 0.000) and Ge at (0.500, 0.500, 0.500).


Li3Ac2HgBi4 | PBE | optimized geometry

The density comes out at 8.724 Mg/m³. The final energy is -3.5273 eV per atom. The formation energy is -5.49 eV/f.u.

The space group is P-4m2 (No. 115) and the conventional cell measures 4.901, 4.901 and 11.976 Å, with angles of 90.00, 90.00 and 90.00 degrees. Symmetry generates all atoms from Li at (0.000, 0.000, 0.000), Li at (0.000, 0.500, 0.614), Ac at (0.000, 0.500, 0.268), Hg at (0.500, 0.500, 0.000), Bi at (0.000, 0.000, 0.500), Bi at (0.000, 0.500, 0.838) and Bi at (0.500, 0.500, 0.500).